Record 1
LiPmAs after structural relaxation. Source: Alexandria via LeMat-Bulk, functional PBE.

Cell and atoms, written as POSCAR:
```
LiPmAs
1.0
4.0707 0.0000 0.0000
0.0000 4.2202 0.0000
0.0000 -2.1101 3.6548
As Li Pm
1 1 1
Cartesian
0.6794 2.1101 1.2183
0.6773 0.0000 0.0000
2.7140 0.0000 2.4365
```

***

Record 2
LiPmAs after structural relaxation. Source: Alexandria via LeMat-Bulk, functional PBE.

Cell and atoms, written as POSCAR:
```
LiPmAs
1.0
4.7093 0.0000 0.0000
2.3546 4.0784 0.0000
2.3546 1.3595 3.8451
As Li Pm
1 1 1
Cartesian
2.3546 1.3595 0.9613
0.0000 0.0000 0.0000
4.7093 2.7189 1.9226
```

***

Record 3
LiPmAs2 after structural relaxation. Source: Alexandria via LeMat-Bulk, functional PBE.

Cell and atoms, written as POSCAR:
```
LiPmAs2
1.0
3.9583 0.0000 0.0000
0.0000 3.9583 0.0000
0.0000 0.0000 10.6460
Li Pm As
2 2 4
Cartesian
1.9792 1.9792 0.0000
0.0000 0.0000 0.0000
0.0000 1.9792 2.8854
1.9792 0.0000 7.7605
1.9792 0.0000 1.7054
0.0000 1.9792 8.9405
0.0000 0.0000 5.3230
1.9792 1.9792 5.3230
```

***

Number 1: DFT formation energy -96.5 kJ/mol of atoms, offset from the most stable computed form 30 meV per atom. Number 2: DFT formation energy -84.0 kJ/mol of atoms, offset from the most stable computed form 159 meV per atom. Number 3: DFT formation energy -97.2 kJ/mol of atoms, offset from the most stable computed form 0 meV per atom.